First-principles (PBE) data for a geometry-optimized SrAc2UP4 structure, as listed in Alexandria via LeMat-Bulk.

Lattice parameters (Å, degrees): 6.0789 6.0789 12.2409 90.00 90.00 90.00
Space group I-4m2 (No. 119)
Symmetry-distinct sites (fractional):
Sr 0.0000 0.0000 0.0000
Ac 0.0000 0.0000 0.5000
Ac 0.0000 0.5000 0.2500
U 0.0000 0.5000 0.7500
P 0.0000 0.0000 0.2511
P 0.0000 0.5000 0.5265

Output
Its formation energy is -1.16 eV per atom. For the total moment, the calculation gives 3.90 μB per cell. The crystal system is tetragonal.

First-principles (PBE) data for a geometry-optimized K3Ho2AlS6 structure, as listed in Alexandria via LeMat-Bulk.

Lattice parameters (Å, degrees): 6.7850 11.7570 7.6879 90.00 107.22 90.00
Space group C2/m (No. 12)
Symmetry-distinct sites (fractional):
K 0.0000 0.0000 0.0000
K 0.0000 0.3295 0.0000
Ho 0.0000 0.1662 0.5000
Al 0.0000 0.5000 0.5000
S 0.2187 0.3456 0.6927
S 0.2435 0.5000 0.3068

Output
The value obtained for the formation energy (no corrections) is -1857.1 kJ/mol of formula units. For the total moment, the calculation gives 0.00 μB per cell. The crystal system is monoclinic.

First-principles (PBE) data for a geometry-optimized SrHgAu3 structure, as listed in Alexandria via LeMat-Bulk.

Lattice parameters (Å, degrees): 5.2755 5.2755 5.2755 90.00 90.00 90.00
Space group Pm-3m (No. 221)
Symmetry-distinct sites (fractional):
Sr 0.0000 0.0000 0.0000
Hg 0.5000 0.5000 0.5000
Au 0.0000 0.5000 0.5000

Output
Its formation energy is -0.10 eV per atom. For the total moment, the calculation gives 0.00 μB per cell. The crystal system is cubic.

First-principles (PBE) data for a geometry-optimized FeCu2Se structure, as listed in Alexandria via LeMat-Bulk.

Lattice parameters (Å, degrees): 2.6714 2.6714 8.2000 90.00 90.00 90.00
Space group P4/mmm (No. 123)
Symmetry-distinct sites (fractional):
Fe 0.0000 0.0000 0.0000
Cu 0.5000 0.5000 0.2142
Se 0.0000 0.0000 0.5000

Output
The value obtained for the formation energy (no corrections) is 120.4 kJ/mol of formula units. For the total moment, the calculation gives 2.85 μB per cell. The crystal system is tetragonal.

First-principles (PBE) data for a geometry-optimized FeIr2W structure, as listed in Alexandria via LeMat-Bulk.

Lattice parameters (Å, degrees): 3.8233 3.8233 7.6234 90.00 90.00 90.00
Space group I-4m2 (No. 119)
Symmetry-distinct sites (fractional):
Fe 0.0000 0.0000 0.0000
Ir 0.0000 0.0000 0.5000
Ir 0.0000 0.5000 0.7500
W 0.0000 0.5000 0.2500

Output
Its formation energy is -0.14 eV per atom. For the total moment, the calculation gives 0.09 μB per cell. The crystal system is tetragonal.

First-principles (PBE) data for a geometry-optimized BSCl3 structure, as listed in Alexandria via LeMat-Bulk.

Lattice parameters (Å, degrees): 4.8812 4.8812 4.8812 90.00 90.00 90.00
Space group Pm-3m (No. 221)
Symmetry-distinct sites (fractional):
B 0.0000 0.0000 0.0000
S 0.5000 0.5000 0.5000
Cl 0.0000 0.5000 0.5000

Output
The value obtained for the formation energy (no corrections) is 475.6 kJ/mol of formula units. For the total moment, the calculation gives 0.00 μB per cell. The crystal system is cubic.

First-principles (PBE) data for a geometry-optimized Y2CrP structure, as listed in Alexandria via LeMat-Bulk.

Lattice parameters (Å, degrees): 10.5542 3.8790 8.9561 90.00 107.99 90.00
Space group Cm (No. 8)
Symmetry-distinct sites (fractional):
Y 0.0000 0.0000 0.0000
Y 0.0145 0.5000 0.3210
Y 0.1677 0.5000 0.7861
Y 0.3701 0.5000 0.5517
Cr 0.2275 0.0000 0.2962
Cr 0.2513 0.5000 0.1723
P 0.1610 0.0000 0.5421
P 0.2842 0.0000 0.0356

Output
Its formation energy is -0.61 eV per atom. For the total moment, the calculation gives 1.43 μB per cell. The crystal system is monoclinic.

First-principles (PBE) data for a geometry-optimized Sm12Ho6Cd structure, as listed in Alexandria via LeMat-Bulk.

Lattice parameters (Å, degrees): 12.9972 12.9972 12.9475 90.00 90.00 120.00
Space group R-3 (No. 148, hexagonal axes)
Symmetry-distinct sites (fractional):
Sm 0.0004 0.2602 0.0002
Sm 0.0605 0.5304 0.1101
Ho 0.0897 0.1804 0.7740
Cd 0.0000 0.0000 0.0000

Output
Its formation energy is 0.12 eV per atom. For the total moment, the calculation gives 0.00 μB per cell. The crystal system is trigonal.

First-principles (PBE) data for a geometry-optimized Ba3CrTe structure, as listed in Alexandria via LeMat-Bulk.

Lattice parameters (Å, degrees): 6.6063 6.6063 6.6063 90.00 90.00 90.00
Space group Pm-3m (No. 221)
Symmetry-distinct sites (fractional):
Ba 0.0000 0.0000 0.5000
Cr 0.5000 0.5000 0.5000
Te 0.0000 0.0000 0.0000

Output
The value obtained for the formation energy (no corrections) is 2.7 kJ/mol of formula units. For the total moment, the calculation gives 6.16 μB per cell. The crystal system is cubic.

First-principles (PBE) data for a geometry-optimized KU4Cu3S12 structure, as listed in Alexandria via LeMat-Bulk.

Lattice parameters (Å, degrees): 9.6940 9.6940 9.6940 90.00 90.00 90.00
Space group Im-3 (No. 204)
Symmetry-distinct sites (fractional):
K 0.0000 0.0000 0.0000
U 0.2500 0.2500 0.2500
Cu 0.0000 0.0000 0.5000
S 0.0000 0.3184 0.1680

Output
The value obtained for the formation energy (no corrections) is -1787.6 kJ/mol of formula units. For the total moment, the calculation gives 7.88 μB per cell. The crystal system is cubic.

First-principles (PBE) data for a geometry-optimized MnSe structure, as listed in Alexandria via LeMat-Bulk.

Lattice parameters (Å, degrees): 3.3371 3.4038 14.7125 90.00 90.00 90.00
Space group Imma (No. 74)
Symmetry-distinct sites (fractional):
Mn 0.0000 0.2500 0.0682
Se 0.0000 0.2500 0.6218

Output
The value obtained for the formation energy (no corrections) is -15.1 kJ/mol of formula units. For the total moment, the calculation gives 12.87 μB per cell. The crystal system is orthorhombic.

Number 8 is which compound?
Sm12Ho6Cd

total moment of number 5 (FeIr2W)?
0.09 μB per cell

Which formula does entry 5 have?
FeIr2W